Compound: Mn3TlB4O12
Source: Alexandria via LeMat-Bulk
Functional: PBE+U
Structure: optimized geometry

```
Mn3TlB4O12
1.0
-1.5218 -5.3190 2.7093
6.1577 0.0167 0.1718
-1.5881 4.2617 4.1549
O Tl B Mn
12 1 4 3
direct
0.8009 0.0275 0.6312
0.6312 0.8009 0.0275
0.5000 0.3572 0.6428
0.0969 0.9031 0.5000
0.0275 0.6312 0.8009
0.9031 0.5000 0.0969
0.5000 0.0969 0.9031
0.3572 0.6428 0.5000
0.9725 0.1991 0.3688
0.3688 0.9725 0.1991
0.1991 0.3688 0.9725
0.6428 0.5000 0.3572
0.0000 0.0000 0.0000
0.5000 0.5000 0.5000
0.9544 0.0456 0.5000
0.0456 0.5000 0.9544
0.5000 0.9544 0.0456
0.0000 0.5465 0.4535
0.4535 0.0000 0.5465
0.5465 0.4535 0.0000
```

**Size of the total moment**: 0.600 μB/atom
**V**: 10.486 A^3/atom
**Total energy**: -7.3899 eV per atom